MgPtPb2N | PBEsol | relaxed

Unit cell a=5.785 b=5.785 c=3.609 alpha=90.00 beta=90.00 gamma=90.00
Space group P4/mmm (No. 123)
One atom of each set of equivalent atoms:
Mg  0.000  0.000  0.000 x1
Pt  0.500  0.500  0.500 x1
Pb  0.000  0.500  0.500 x2
N  0.500  0.500  0.000 x1

- formation energy without anion corrections (eV/atom) = 0.249

ZrBe3Mo | PBEsol | relaxed

Unit cell a=4.228 b=4.228 c=4.228 alpha=90.00 beta=90.00 gamma=90.00
Space group Pm-3m (No. 221)
One atom of each set of equivalent atoms:
Zr  0.000  0.000  0.000 x1
Be  0.000  0.000  0.500 x3
Mo  0.500  0.500  0.500 x1

- E (eV/atom) = -4.5478